Record 1
Compound: TcHgClO2
Source: Alexandria
Functional: PBE-GGA
Structure: relaxed

CIF file:
```
data_TcHgClO2
_chemical_formula_sum 'Tc1 Hg1 Cl1 O2'
_cell_length_a 4.123
_cell_length_b 5.989
_cell_length_c 4.123
_cell_angle_alpha 90.00
_cell_angle_beta 90.00
_cell_angle_gamma 90.00
_symmetry_space_group_name_H-M 'P 1'
_symmetry_Int_Tables_number 1
loop_
_symmetry_equiv_pos_as_xyz
'x,y,z'
loop_
_atom_site_label
_atom_site_fract_x
_atom_site_fract_y
_atom_site_fract_z
Cl1 0.500 0.500 0.500
Hg1 0.000 0.000 0.000
O1 0.000 0.000 0.500
O2 0.500 0.000 0.000
Tc1 0.000 0.500 0.000
```

Computed properties:
- Total energy: -3.6118 eV per atom
- ΔE_f (raw): 0.874 eV/atom



Record 2
Compound: Hg4TeCl2O
Source: Alexandria
Functional: PBE-GGA
Structure: relaxed

CIF file:
```
data_Hg4TeCl2O
_chemical_formula_sum 'Hg8 Te2 Cl4 O2'
_cell_length_a 8.039
_cell_length_b 8.039
_cell_length_c 8.593
_cell_angle_alpha 111.17
_cell_angle_beta 111.17
_cell_angle_gamma 100.57
_symmetry_space_group_name_H-M 'P 1'
_symmetry_Int_Tables_number 1
loop_
_symmetry_equiv_pos_as_xyz
'x,y,z'
loop_
_atom_site_label
_atom_site_fract_x
_atom_site_fract_y
_atom_site_fract_z
Hg1 0.146 0.787 0.898
Hg2 0.713 0.354 0.602
Hg3 0.287 0.646 0.398
Hg4 0.854 0.213 0.102
Hg5 0.790 0.779 0.033
Hg6 0.721 0.710 0.467
Hg7 0.279 0.290 0.533
Hg8 0.210 0.221 0.967
Te1 0.000 0.500 0.000
Te2 0.000 0.500 0.500
Cl1 0.500 0.000 0.000
Cl2 0.500 0.000 0.500
Cl3 0.000 0.000 0.500
Cl4 0.500 0.500 0.000
O1 0.500 0.500 0.500
O2 0.000 0.000 0.000
```

Computed properties:
- Total energy: -1.7682 eV per atom
- ΔE_f (raw): -0.143 eV/atom



Record 3
Compound: TlHgClO2
Source: Alexandria
Functional: PBE-GGA
Structure: relaxed

CIF file:
```
data_TlHgClO2
_chemical_formula_sum 'Tl2 Hg2 Cl2 O4'
_cell_length_a 4.179
_cell_length_b 6.344
_cell_length_c 8.429
_cell_angle_alpha 73.05
_cell_angle_beta 90.00
_cell_angle_gamma 90.00
_symmetry_space_group_name_H-M 'P 1'
_symmetry_Int_Tables_number 1
loop_
_symmetry_equiv_pos_as_xyz
'x,y,z'
loop_
_atom_site_label
_atom_site_fract_x
_atom_site_fract_y
_atom_site_fract_z
Tl1 0.250 0.917 0.869
Tl2 0.750 0.083 0.131
Hg1 0.750 0.205 0.543
Hg2 0.250 0.795 0.457
Cl1 0.750 0.446 0.205
Cl2 0.250 0.554 0.795
O1 0.750 0.040 0.874
O2 0.250 0.960 0.126
O3 0.250 0.119 0.594
O4 0.750 0.881 0.406
```

Computed properties:
- Total energy: -3.3363 eV per atom
- ΔE_f (raw): -0.450 eV/atom



Record 4
Compound: Tl4Hg2ClO
Source: Alexandria
Functional: PBE-GGA
Structure: relaxed

CIF file:
```
data_Tl4Hg2ClO
_chemical_formula_sum 'Tl8 Hg4 Cl2 O2'
_cell_length_a 9.157
_cell_length_b 9.156
_cell_length_c 11.185
_cell_angle_alpha 127.65
_cell_angle_beta 127.64
_cell_angle_gamma 86.79
_symmetry_space_group_name_H-M 'P 1'
_symmetry_Int_Tables_number 1
loop_
_symmetry_equiv_pos_as_xyz
'x,y,z'
loop_
_atom_site_label
_atom_site_fract_x
_atom_site_fract_y
_atom_site_fract_z
Tl1 0.198 0.778 0.988
Tl2 0.722 0.301 0.512
Tl3 0.278 0.699 0.488
Tl4 0.802 0.222 0.012
Tl5 0.749 0.751 0.914
Tl6 0.749 0.751 0.586
Tl7 0.251 0.249 0.414
Tl8 0.251 0.249 0.086
Hg1 0.500 0.000 0.000
Hg2 0.500 0.000 0.500
Hg3 0.000 0.000 0.500
Hg4 0.500 0.500 0.000
Cl1 0.000 0.500 0.000
Cl2 0.000 0.500 0.500
O1 0.500 0.500 0.500
O2 0.000 0.000 0.000
```

Computed properties:
- Total energy: -2.4983 eV per atom
- ΔE_f (raw): -0.389 eV/atom



Record 5
Compound: UHgClO4
Source: Alexandria
Functional: PBE-GGA
Structure: relaxed

CIF file:
```
data_UHgClO4
_chemical_formula_sum 'U2 Hg2 Cl2 O8'
_cell_length_a 7.096
_cell_length_b 7.096
_cell_length_c 7.365
_cell_angle_alpha 70.43
_cell_angle_beta 70.43
_cell_angle_gamma 76.03
_symmetry_space_group_name_H-M 'P 1'
_symmetry_Int_Tables_number 1
loop_
_symmetry_equiv_pos_as_xyz
'x,y,z'
loop_
_atom_site_label
_atom_site_fract_x
_atom_site_fract_y
_atom_site_fract_z
U1 0.650 0.650 0.789
U2 0.350 0.350 0.211
Hg1 0.211 0.211 0.816
Hg2 0.789 0.789 0.184
Cl1 0.095 0.095 0.171
Cl2 0.905 0.905 0.829
O1 0.303 0.303 0.509
O2 0.697 0.697 0.491
O3 0.118 0.540 0.210
O4 0.561 0.561 0.111
O5 0.460 0.882 0.790
O6 0.540 0.118 0.210
O7 0.439 0.439 0.889
O8 0.882 0.460 0.790
```

Computed properties:
- Total energy: -6.4716 eV per atom
- ΔE_f (raw): -1.719 eV/atom